5
Lattice="3.899 0.000 0.000 0.000 3.899 0.000 0.000 0.000 5.086" Properties=species:S:1:pos:R:3 comment="ZnInFeO2 PBE with a Hubbard U optimized geometry" total_energy_ev_per_atom=-4.273 crystal_system=tetragonal pbc="T T T"
Zn 0.000 0.000 0.000
In 1.949 1.949 0.000
Fe 0.000 0.000 2.543
O 0.000 1.949 2.543
O 1.949 0.000 2.543